# Fe2MoBr PBE optimized geometry
# Energy relative to the lowest polymorph listed for this composition = 0.51 eV per formula unit
# Raw formation energy = 0.553 eV per atom
data_Fe2MoBr
_chemical_formula_sum 'Fe6 Mo3 Br3'
_space_group_name_H-M_alt 'R 3 m'
_space_group_IT_number 160
_space_group_name_Hall 'R 3 -2"'
_cell_length_a 2.9824
_cell_length_b 2.9824
_cell_length_c 24.2598
_cell_angle_alpha 90.00
_cell_angle_beta 90.00
_cell_angle_gamma 120.00
loop_
_atom_site_label
_atom_site_type_symbol
_atom_site_fract_x
_atom_site_fract_y
_atom_site_fract_z
_atom_site_occupancy
Fe1 Fe 0.0000 0.0000 0.0000 1
Fe2 Fe 0.0000 0.0000 0.2604 1
Mo1 Mo 0.0000 0.0000 0.5125 1
Br1 Br 0.0000 0.0000 0.7592 1